w | Material: KBeAu4
Method: DFT, GGA-PBE
State: relaxed

Geometry as POSCAR:
```
KBeAu4
1.0
3.2086 -5.6723 0.0000
3.2086 5.6723 0.0000
-0.0063 0.0000 7.1372
K Be Au
2 2 8
direct
0.0800 0.9200 0.7500
0.9200 0.0800 0.2500
0.4554 0.5446 0.7500
0.5446 0.4554 0.2500
0.0331 0.4041 0.7497
0.3745 0.6252 0.0521
0.3748 0.6255 0.4479
0.4041 0.0331 0.2497
0.5959 0.9669 0.7503
0.6252 0.3745 0.5521
0.6255 0.3748 0.9479
0.9669 0.5959 0.2503
```

## Properties
- M_tot (Bohr magnetons per cell) = 0.00
- calculated density (g/cm³) = 10.69

x | Material: KBeAu4
Method: DFT, GGA-PBE
State: relaxed

Geometry as POSCAR:
```
KBeAu4
1.0
6.8749 -2.9486 0.0000
6.8749 2.9486 0.0000
-0.5283 0.0000 6.1731
K Be Au
2 2 8
direct
0.2054 0.2054 0.1251
0.7946 0.7946 0.8749
0.4650 0.4650 0.6787
0.5350 0.5350 0.3213
0.1390 0.6678 0.3862
0.2569 0.7431 0.0000
0.2781 0.2781 0.6285
0.3322 0.8610 0.6138
0.6678 0.1390 0.3862
0.7219 0.7219 0.3715
0.7431 0.2569 0.0000
0.8610 0.3322 0.6138
```

## Properties
- M_tot (Bohr magnetons per cell) = 0.00
- calculated density (g/cm³) = 11.09

y | Material: KBeAu4
Method: DFT, GGA-PBE
State: relaxed

Geometry as POSCAR:
```
KBeAu4
1.0
0.0000 3.9743 3.9743
3.9743 0.0000 3.9743
3.9743 3.9743 0.0000
K Be Au
1 1 4
direct
0.0000 0.0000 0.0000
0.2500 0.2500 0.2500
0.1265 0.6245 0.6245
0.6245 0.1265 0.6245
0.6245 0.6245 0.1265
0.6245 0.6245 0.6245
```

## Properties
- M_tot (Bohr magnetons per cell) = 0.00
- calculated density (g/cm³) = 11.06

Name the most stable of them. w.

w | Material: KBe2Au2
Method: DFT, GGA-PBE
State: relaxed

Geometry as POSCAR:
```
KBe2Au2
1.0
-1.9972 1.9972 6.5335
1.9972 -1.9972 6.5335
1.9972 1.9972 -6.5335
K Be Au
1 2 2
direct
0.0000 0.0000 0.0000
0.2500 0.7500 0.5000
0.7500 0.2500 0.5000
0.3425 0.3425 0.0000
0.6575 0.6575 0.0000
```

## Properties
- M_tot (Bohr magnetons per cell) = 0.00
- calculated density (g/cm³) = 7.19

x | Material: KBe2Au2
Method: DFT, GGA-PBE
State: relaxed

Geometry as POSCAR:
```
KBe2Au2
1.0
3.1539 -5.7274 0.0000
3.1539 5.7274 0.0000
-2.3253 0.0000 5.4900
K Be Au
2 4 4
direct
0.1076 0.8924 0.7500
0.8924 0.1076 0.2500
0.2509 0.7491 0.2500
0.4853 0.5147 0.2500
0.5147 0.4853 0.7500
0.7491 0.2509 0.7500
0.2028 0.4738 0.8998
0.4738 0.2028 0.3998
0.5262 0.7972 0.6002
0.7972 0.5262 0.1002
```

## Properties
- M_tot (Bohr magnetons per cell) = 0.00
- calculated density (g/cm³) = 7.55

y | Material: KBe2Au2
Method: DFT, GGA-PBE
State: relaxed

Geometry as POSCAR:
```
KBe2Au2
1.0
7.8969 0.0000 0.0000
0.0000 7.8969 0.0000
0.0000 0.0000 2.7539
K Be Au
2 4 4
direct
0.0000 0.0000 0.0000
0.5000 0.5000 0.0000
0.1073 0.3927 0.5000
0.3927 0.8927 0.5000
0.6073 0.1073 0.5000
0.8927 0.6073 0.5000
0.1614 0.6614 0.0000
0.3386 0.1614 0.0000
0.6614 0.8386 0.0000
0.8386 0.3386 0.0000
```

## Properties
- M_tot (Bohr magnetons per cell) = 0.00
- calculated density (g/cm³) = 8.72

Name the most stable of them. x.

w | Material: LaBeAu3
Method: DFT, GGA-PBE
State: relaxed

Geometry as POSCAR:
```
LaBeAu3
1.0
4.6723 0.0000 0.0000
0.0000 4.6723 0.0000
0.0000 0.0000 4.6723
La Be Au
1 1 3
direct
0.0000 0.0000 0.0000
0.5000 0.5000 0.5000
0.0000 0.5000 0.5000
0.5000 0.0000 0.5000
0.5000 0.5000 0.0000
```

## Properties
- M_tot (Bohr magnetons per cell) = 0.00
- calculated density (g/cm³) = 12.03

x | Material: LaBeAu3
Method: DFT, GGA-PBE
State: relaxed

Geometry as POSCAR:
```
LaBeAu3
1.0
6.5449 0.0000 0.0000
-3.2725 5.6681 0.0000
0.0000 0.0000 5.3637
La Be Au
2 2 6
direct
0.3333 0.6667 0.2500
0.6667 0.3333 0.7500
0.0000 0.0000 0.0000
0.0000 0.0000 0.5000
0.1801 0.3602 0.7500
0.1801 0.8199 0.7500
0.3602 0.1801 0.2500
0.6398 0.8199 0.7500
0.8199 0.1801 0.2500
0.8199 0.6398 0.2500
```

## Properties
- M_tot (Bohr magnetons per cell) = 0.00
- calculated density (g/cm³) = 12.33

y | Material: LaBeAu3
Method: DFT, GGA-PBE
State: relaxed

Geometry as POSCAR:
```
LaBeAu3
1.0
5.7504 0.0000 0.0000
0.0000 5.7504 0.0000
0.0000 0.0000 5.7504
La Be Au
1 1 3
direct
0.0000 0.0000 0.0000
0.5000 0.5000 0.5000
0.0000 0.0000 0.5000
0.0000 0.5000 0.0000
0.5000 0.0000 0.0000
```

## Properties
- M_tot (Bohr magnetons per cell) = 0.00
- calculated density (g/cm³) = 6.45

Name the most stable of them. x.

w | Material: LaBe3Au
Method: DFT, GGA-PBE
State: relaxed

Geometry as POSCAR:
```
LaBe3Au
1.0
4.4335 0.0000 0.0000
0.0000 4.4335 0.0000
0.0000 0.0000 4.4335
La Be Au
1 3 1
direct
0.0000 0.0000 0.0000
0.0000 0.5000 0.5000
0.5000 0.0000 0.5000
0.5000 0.5000 0.0000
0.5000 0.5000 0.5000
```

## Properties
- M_tot (Bohr magnetons per cell) = 0.00
- calculated density (g/cm³) = 6.92

x | Material: LaBe3Au
Method: DFT, GGA-PBE
State: relaxed

Geometry as POSCAR:
```
LaBe3Au
1.0
4.9531 0.0000 0.0000
0.0000 4.9531 0.0000
0.0000 0.0000 4.9531
La Be Au
1 3 1
direct
0.0000 0.0000 0.0000
0.0000 0.0000 0.5000
0.0000 0.5000 0.0000
0.5000 0.0000 0.0000
0.5000 0.5000 0.5000
```

## Properties
- M_tot (Bohr magnetons per cell) = 0.00
- calculated density (g/cm³) = 4.96

Name the most stable of them. w.

w | Material: LaBeAu4
Method: DFT, GGA-PBE
State: relaxed

Geometry as POSCAR:
```
LaBeAu4
1.0
0.0000 3.9560 3.9560
3.9560 0.0000 3.9560
3.9560 3.9560 0.0000
La Be Au
1 1 4
direct
0.0000 0.0000 0.0000
0.2500 0.2500 0.2500
0.1276 0.6241 0.6241
0.6241 0.1276 0.6241
0.6241 0.6241 0.1276
0.6241 0.6241 0.6241
```

## Properties
- M_tot (Bohr magnetons per cell) = 0.00
- calculated density (g/cm³) = 12.55

x | Material: LaBeAu4
Method: DFT, GGA-PBE
State: relaxed

Geometry as POSCAR:
```
LaBeAu4
1.0
5.1120 -3.1436 0.0000
5.1120 3.1436 0.0000
-2.8439 0.0000 7.4098
La Be Au
2 2 8
direct
0.2050 0.2050 0.2974
0.7950 0.7950 0.7026
0.4611 0.4611 0.6994
0.5389 0.5389 0.3006
0.1495 0.6573 0.0932
0.2421 0.7579 0.5000
0.2493 0.2493 0.7290
0.3427 0.8505 0.9068
0.6573 0.1495 0.0932
0.7507 0.7507 0.2710
0.7579 0.2421 0.5000
0.8505 0.3427 0.9068
```

## Properties
- M_tot (Bohr magnetons per cell) = 0.00
- calculated density (g/cm³) = 13.05

Name the most stable of them. x.

w | Material: LaBe2MoAu
Method: DFT, GGA-PBE
State: relaxed

Geometry as POSCAR:
```
LaBe2MoAu
1.0
4.5001 0.0000 0.0000
0.0000 4.5001 0.0000
0.0000 0.0000 5.0955
La Be Mo Au
1 2 1 1
direct
0.0000 0.0000 0.0000
0.0000 0.5000 0.5000
0.5000 0.0000 0.5000
0.5000 0.5000 0.5000
0.5000 0.5000 0.0000
```

## Properties
- M_tot (Bohr magnetons per cell) = 0.00
- calculated density (g/cm³) = 7.24

x | Material: LaBe2MoAu
Method: DFT, GGA-PBE
State: relaxed

Geometry as POSCAR:
```
LaBe2MoAu
1.0
4.7720 0.0000 0.0000
0.0000 4.7720 0.0000
0.0000 0.0000 4.7936
La Be Mo Au
1 2 1 1
direct
0.0000 0.0000 0.0000
0.0000 0.5000 0.0000
0.5000 0.0000 0.0000
0.0000 0.0000 0.5000
0.5000 0.5000 0.5000
```

## Properties
- M_tot (Bohr magnetons per cell) = 0.00
- calculated density (g/cm³) = 6.84

Name the most stable of them. w.

w | Material: LiBe2Au
Method: DFT, GGA-PBE
State: relaxed

Geometry as POSCAR:
```
LiBe2Au
1.0
3.0503 0.0000 0.0000
0.0000 3.0503 0.0000
0.0000 0.0000 5.2396
Li Be Au
1 2 1
direct
0.0000 0.0000 0.0000
0.5000 0.5000 0.2584
0.5000 0.5000 0.7416
0.0000 0.0000 0.5000
```

## Properties
- M_tot (Bohr magnetons per cell) = 0.00
- calculated density (g/cm³) = 7.56

x | Material: LiBe2Au
Method: DFT, GGA-PBE
State: relaxed

Geometry as POSCAR:
```
LiBe2Au
1.0
3.4263 0.0000 0.0000
0.0000 3.6683 0.0000
0.0000 0.0000 3.7066
Li Be Au
1 2 1
direct
0.0000 0.0000 0.0000
0.5000 0.0000 0.5000
0.5000 0.5000 0.0000
0.0000 0.5000 0.5000
```

## Properties
- M_tot (Bohr magnetons per cell) = 0.00
- calculated density (g/cm³) = 7.91

Name the most stable of them. x.

w | Material: LiBe2Au
Method: DFT, GGA-PBE
State: relaxed

Geometry as POSCAR:
```
LiBe2Au
1.0
0.0000 2.8407 2.8407
2.8407 0.0000 2.8407
2.8407 2.8407 0.0000
Li Be Au
1 2 1
direct
0.0000 0.0000 0.0000
0.2500 0.2500 0.2500
0.7500 0.7500 0.7500
0.5000 0.5000 0.5000
```

## Properties
- M_tot (Bohr magnetons per cell) = 0.00
- calculated density (g/cm³) = 8.04

x | Material: LiBe2Au
Method: DFT, GGA-PBE
State: relaxed

Geometry as POSCAR:
```
LiBe2Au
1.0
-1.7580 1.7580 3.7465
1.7580 -1.7580 3.7465
1.7580 1.7580 -3.7465
Li Be Au
1 2 1
direct
0.0000 0.0000 0.0000
0.5000 0.5000 0.0000
0.7500 0.2500 0.5000
0.2500 0.7500 0.5000
```

## Properties
- M_tot (Bohr magnetons per cell) = 0.00
- calculated density (g/cm³) = 7.96

Name the most stable of them. w.

w | Material: LiBeAu3
Method: DFT, GGA-PBE
State: relaxed

Geometry as POSCAR:
```
LiBeAu3
1.0
5.3771 0.0000 0.0000
0.0000 4.2537 0.0000
-2.3879 0.0000 6.5967
Li Be Au
2 2 6
direct
0.1054 0.2500 0.3194
0.8946 0.7500 0.6806
0.4958 0.2500 0.1136
0.5042 0.7500 0.8864
0.2068 0.7500 0.0795
0.2242 0.2500 0.7640
0.3372 0.7500 0.5296
0.6628 0.2500 0.4704
0.7758 0.7500 0.2360
0.7932 0.2500 0.9205
```

## Properties
- M_tot (Bohr magnetons per cell) = 0.00
- calculated density (g/cm³) = 13.36

x | Material: LiBeAu3
Method: DFT, GGA-PBE
State: relaxed

Geometry as POSCAR:
```
LiBeAu3
1.0
4.4117 0.0000 0.0000
0.0000 4.4117 0.0000
0.0000 0.0000 4.4117
Li Be Au
1 1 3
direct
0.0000 0.0000 0.0000
0.5000 0.5000 0.5000
0.0000 0.0000 0.5000
0.0000 0.5000 0.0000
0.5000 0.0000 0.0000
```

## Properties
- M_tot (Bohr magnetons per cell) = 0.00
- calculated density (g/cm³) = 11.74

y | Material: LiBeAu3
Method: DFT, GGA-PBE
State: relaxed

Geometry as POSCAR:
```
LiBeAu3
1.0
4.9493 -2.8997 0.0000
4.9493 2.8997 0.0000
-4.1441 0.0000 5.9978
Li Be Au
2 2 6
direct
0.0000 0.0000 0.0000
0.1534 0.1534 0.6478
0.3987 0.3987 0.3326
0.5161 0.5161 0.8281
0.0030 0.5097 0.0406
0.0910 0.6019 0.5306
0.5097 0.0030 0.0406
0.5557 0.5557 0.1757
0.6019 0.0910 0.5306
0.6607 0.6607 0.6482
```

## Properties
- M_tot (Bohr magnetons per cell) = 0.00
- calculated density (g/cm³) = 11.71

z | Material: LiBeAu3
Method: DFT, GGA-PBE
State: relaxed

Geometry as POSCAR:
```
LiBeAu3
1.0
4.4764 0.0000 0.0000
0.0000 4.4764 0.0000
0.0000 0.0000 4.4764
Li Be Au
1 1 3
direct
0.0000 0.0000 0.0000
0.5000 0.5000 0.5000
0.0000 0.5000 0.5000
0.5000 0.0000 0.5000
0.5000 0.5000 0.0000
```

## Properties
- M_tot (Bohr magnetons per cell) = 0.00
- calculated density (g/cm³) = 11.23

Name the most stable of them. w.

w | Material: LiBe3Au6
Method: DFT, GGA-PBE
State: relaxed

Geometry as POSCAR:
```
LiBe3Au6
1.0
4.5902 -5.8435 0.0000
4.5902 5.8435 0.0000
0.0000 0.0000 5.8465
Li Be Au
2 6 12
direct
0.2042 0.7958 0.5000
0.7958 0.2042 0.0000
0.0544 0.2747 0.3913
0.2747 0.0544 0.8913
0.4253 0.5747 0.7859
0.5747 0.4253 0.2859
0.7253 0.9456 0.3913
0.9456 0.7253 0.8913
0.0171 0.9829 0.1901
0.0594 0.4686 0.7279
0.2568 0.7432 0.0150
0.2890 0.3505 0.0871
0.3505 0.2890 0.5871
0.4686 0.0594 0.2279
0.5314 0.9406 0.7279
0.6495 0.7110 0.0871
0.7110 0.6495 0.5871
0.7432 0.2568 0.5150
0.9406 0.5314 0.2279
0.9829 0.0171 0.6901
```

## Properties
- M_tot (Bohr magnetons per cell) = 0.00
- calculated density (g/cm³) = 12.87

x | Material: LiBe3Au6
Method: DFT, GGA-PBE
State: relaxed

Geometry as POSCAR:
```
LiBe3Au6
1.0
5.5644 0.0000 0.0000
2.7557 4.8504 0.0000
2.3661 -1.2601 6.0364
Li Be Au
1 3 6
direct
0.0000 0.0000 0.0000
0.2355 0.9143 0.5495
0.4159 0.3457 0.9149
0.6576 0.6241 0.9228
0.1789 0.3331 0.6680
0.3478 0.5703 0.2614
0.4008 0.0488 0.1899
0.6174 0.5013 0.6070
0.7750 0.9179 0.6591
0.9102 0.5385 0.1614
```

## Properties
- M_tot (Bohr magnetons per cell) = 0.00
- calculated density (g/cm³) = 12.39

Name the most stable of them. w.